# Er2MgZn4 | the Alexandria database | GGA-PBE | optimized geometry
# **E above lowest polymorph**: 0.0 meV/atom
# **ΔE_f**: -0.0958 eV per atom
data_Er2MgZn4
_cell_length_a 4.7248
_cell_length_b 4.7248
_cell_length_c 23.6515
_cell_angle_alpha 90.00
_cell_angle_beta 90.00
_cell_angle_gamma 120.00
_space_group_name_H-M_alt 'R -3 m'
_space_group_IT_number 166
_space_group_name_Hall '-R 3 2"'
loop_
_atom_site_label
_atom_site_type_symbol
_atom_site_fract_x
_atom_site_fract_y
_atom_site_fract_z
Er1 Er 0.0000 0.0000 0.2503
Mg1 Mg 0.0000 0.0000 0.5000
Zn1 Zn 0.0000 0.0000 0.1253
Zn2 Zn 0.0000 0.0000 0.3732